[1]
The following is a PBE-GGA calculation of an optimized crystal structure of MgZrSi, from Alexandria.

## Properties
Electronic total energy = -5.6244 eV per atom

Lattice parameters (Å, degrees): 8.8235 8.8235 3.7078 90.00 90.00 155.63
Last column: nearest neighbours and their distance in Å.
Fractional coordinates of all 6 atoms:
Mg (0.2024, 0.7976, 0.7500)  1 Si 2.70
Mg (0.7976, 0.2024, 0.2500)  1 Si 2.70
Zr (0.4164, 0.5836, 0.7500)  6 Si 2.71-2.91
Zr (0.5836, 0.4164, 0.2500)  6 Si 2.71-2.91
Si (0.0459, 0.9541, 0.7500)  2 Si 2.44, 1 Mg 2.70, 4 Zr 2.71
Si (0.9541, 0.0459, 0.2500)  2 Si 2.44, 1 Mg 2.70, 4 Zr 2.71



[2]
The following is a PBE-GGA calculation of an optimized crystal structure of LaZnPb2, from Alexandria.

## Properties
Electronic total energy = -3.5556 eV per atom

Lattice parameters (Å, degrees): 6.5086 6.5086 3.6275 104.63 104.63 118.61
Last column: nearest neighbours and their distance in Å.
Fractional coordinates of all 4 atoms:
La (0.0000, 0.0000, 0.0000)  4 Pb 3.30, 4 Zn 3.32-3.50, 2 La 3.63
Zn (0.5000, 0.5000, 0.0000)  4 Pb 3.30, 4 La 3.32-3.50, 2 Zn 3.63
Pb (0.0000, 0.5000, 0.5000)  2 Zn 3.30, 2 La 3.30, 6 Pb 3.32-3.63
Pb (0.5000, 0.0000, 0.5000)  2 Zn 3.30, 2 La 3.30, 6 Pb 3.32-3.63



[3]
The following is a PBE-GGA calculation of an optimized crystal structure of TcHgSeN2, from Alexandria.

## Properties
Energy above the most stable polymorph in this dataset = 1834.8 meV per atom

Lattice parameters (Å, degrees): 4.0614 4.0614 5.9927 90.00 90.00 90.00
Last column: nearest neighbours and their distance in Å.
Fractional coordinates of all 5 atoms:
Tc (0.0000, 0.0000, 0.0000)  4 Se 2.87
Hg (0.5000, 0.5000, 0.5000)  4 N 2.03
Se (0.5000, 0.5000, 0.0000)  4 Tc 2.87, 2 Hg 3.00
N (0.0000, 0.5000, 0.5000)  2 Hg 2.03
N (0.5000, 0.0000, 0.5000)  2 Hg 2.03



[4]
The following is a PBE-GGA calculation of an optimized crystal structure of DyCdIn2, from Alexandria.

## Properties
Energy above the most stable polymorph in this dataset = 0.0 meV per atom

Lattice parameters (Å, degrees): 4.6190 4.6190 4.5474 90.00 90.00 90.00
Last column: nearest neighbours and their distance in Å.
Fractional coordinates of all 4 atoms:
Dy (0.0000, 0.0000, 0.0000)  8 In 3.24, 4 Cd 3.27
Cd (0.5000, 0.5000, 0.0000)  8 In 3.24, 4 Dy 3.27
In (0.0000, 0.5000, 0.5000)  4 Cd 3.24, 4 Dy 3.24, 4 In 3.27
In (0.5000, 0.0000, 0.5000)  4 Cd 3.24, 4 Dy 3.24, 4 In 3.27